1.
{
  "formula": "MgSn5",
  "functional": "meta-GGA SCAN",
  "state": "PBEsol geometry",
  "lattice": [[5.322, 0.000, 0.000], [0.000, 5.749, 0.000], [0.000, -2.875, 4.979]],
  "species": ["Sn", "Sn", "Sn", "Sn", "Mg", "Sn"],
  "frac_coords": [[0.000, 0.673, 0.000], [0.000, 0.000, 0.673], [0.000, 0.327, 0.327], [0.500, 0.333, 0.667], [0.500, 0.000, 0.000], [0.500, 0.667, 0.333]]
}



2.
{
  "formula": "BeAs2BrO",
  "functional": "meta-GGA SCAN",
  "state": "PBEsol geometry",
  "raw_formation_energy_ev_per_atom": 1.2200,
  "lattice": [[-0.814, -1.295, -3.248], [-1.375, -4.490, 2.135], [-4.832, 1.728, 0.522]],
  "species": ["As", "Be", "As", "Br", "O"],
  "frac_coords": [[0.000, 0.000, 0.500], [0.500, 0.500, 0.500], [0.000, 0.500, 0.000], [0.000, 0.000, 0.000], [0.500, 0.000, 0.000]]
}



3.
{
  "formula": "KBeSe2",
  "functional": "meta-GGA SCAN",
  "state": "PBEsol geometry",
  "raw_formation_energy_ev_per_atom": -0.1419,
  "lattice": [[3.209, 0.000, 0.000], [0.000, 3.209, 0.000], [0.000, 0.000, 7.826]],
  "species": ["Se", "Be", "Se", "K"],
  "frac_coords": [[0.000, 0.000, 0.809], [0.500, 0.500, 0.000], [0.000, 0.000, 0.191], [0.500, 0.500, 0.500]]
}



4.
{
  "formula": "Cs2GaAgBr6",
  "functional": "meta-GGA SCAN",
  "state": "PBEsol geometry",
  "raw_formation_energy_ev_per_atom": -1.2397,
  "lattice": [[-0.048, 6.171, 4.336], [-2.543, -0.392, 7.090], [4.818, 0.591, 5.773]],
  "species": ["Br", "Cs", "Br", "Br", "Br", "Ga", "Ag", "Cs", "Br", "Br"],
  "frac_coords": [[0.240, 0.760, 0.240], [0.250, 0.250, 0.250], [0.760, 0.760, 0.240], [0.760, 0.240, 0.760], [0.240, 0.760, 0.760], [0.000, 0.000, 0.000], [0.500, 0.500, 0.500], [0.750, 0.750, 0.750], [0.240, 0.240, 0.760], [0.760, 0.240, 0.240]]
}



5.
{
  "formula": "TaSi2Pt",
  "functional": "meta-GGA SCAN",
  "state": "PBEsol geometry",
  "raw_formation_energy_ev_per_atom": -0.4531,
  "lattice": [[-0.024, 3.160, 1.694], [-3.321, 0.618, -1.201], [-0.030, -3.878, 3.440]],
  "species": ["Si", "Pt", "Ta", "Si"],
  "frac_coords": [[0.000, 0.000, 0.000], [0.250, 0.750, 0.500], [0.500, 0.500, 0.000], [0.750, 0.250, 0.500]]
}



6.
{
  "formula": "Cu2Se3",
  "functional": "meta-GGA SCAN",
  "state": "PBEsol geometry",
  "raw_formation_energy_ev_per_atom": -0.0070,
  "lattice": [[3.615, 0.000, 0.000], [1.807, 3.131, 0.000], [1.807, 1.044, 7.544]],
  "species": ["Cu", "Se", "Se", "Cu", "Se"],
  "frac_coords": [[0.399, 0.399, 0.802], [0.000, 0.000, 0.000], [0.788, 0.788, 0.637], [0.601, 0.601, 0.198], [0.212, 0.212, 0.363]]
}



For the records above, the corresponding energy values read -30.652; -12.865; -13.352; -25.249; -39.655; -18.134 eV per atom.